Density functional theory data (GGA+U) for HgWO2F after structural relaxation.

Values from the calculation:
- Total energy: -5.22 eV/atom
- DOS(E_F): 2.45 states/eV/cell
- Density: 10.07 g/cm³

Cell: 4.059 4.059 4.357 Å, 90.00 90.00 90.00°
Space group P4/mmm (No. 123)
Symmetry-distinct sites (fractional):
Hg: 0.000 0.000 0.000 [1 per cell]
W: 0.500 0.500 0.500 [1 per cell]
O: 0.000 0.500 0.500 [2 per cell]
F: 0.500 0.500 0.000 [1 per cell]

***

Density functional theory data (GGA+U) for HgWOF2 after structural relaxation.

Values from the calculation:
- Total energy: -4.80 eV/atom
- DOS(E_F): 0.84 states/eV/cell
- Density: 9.50 g/cm³

Cell: 4.394 4.394 3.969 Å, 90.00 90.00 90.00°
Space group P4/mmm (No. 123)
Symmetry-distinct sites (fractional):
Hg: 0.000 0.000 0.000 [1 per cell]
W: 0.500 0.500 0.500 [1 per cell]
O: 0.500 0.500 0.000 [1 per cell]
F: 0.000 0.500 0.500 [2 per cell]